A geometry-optimized CaTiSe3 structure, computed with PBE-GGA.

## Properties
- Calculated total energy: -19.2 eV per cell
- Formation energy (no corrections): 0.22 eV/atom
- Spin magnetization: 0.15 μB per cell
- Fermi-level density of states: 2.73 states/eV per atom

Cell: 5.2949 5.2949 5.2949 Å, 90.00 90.00 90.00°
Space group Pm-3m (No. 221)
Asymmetric unit:
1 Ca 0.0000 0.0000 0.0000 (multiplicity 1)
2 Ti 0.5000 0.5000 0.5000 (multiplicity 1)
3 Se 0.0000 0.0000 0.5000 (multiplicity 3)



A geometry-optimized Ca2Ti2Se structure, computed with PBE-GGA.

## Properties
- Calculated total energy: -40.6 eV per cell
- Formation energy (no corrections): 0.59 eV/atom
- Spin magnetization: 0.00 μB per cell
- Fermi-level density of states: 1.72 states/eV per atom

Cell: 4.3354 4.3354 14.0792 Å, 90.00 90.00 90.00°
Space group I4/mmm (No. 139)
Asymmetric unit:
1 Ca 0.0000 0.5000 0.2500 (multiplicity 4)
2 Ti 0.0000 0.0000 0.0701 (multiplicity 4)
3 Se 0.0000 0.0000 0.5000 (multiplicity 2)



A geometry-optimized CaTi2Se2 structure, computed with PBE-GGA.

## Properties
- Calculated total energy: -59.9 eV per cell
- Formation energy (no corrections): -1.03 eV/atom
- Spin magnetization: 0.00 μB per cell
- Fermi-level density of states: 0.65 states/eV per atom

Cell: 3.8107 3.8107 13.9580 Å, 90.00 90.00 90.00°
Space group I4/mmm (No. 139)
Asymmetric unit:
1 Ca 0.0000 0.0000 0.0000 (multiplicity 2)
2 Ti 0.0000 0.5000 0.2500 (multiplicity 4)
3 Se 0.0000 0.0000 0.3821 (multiplicity 4)



Please write out number 1 again, unchanged.
A geometry-optimized CaTiSe3 structure, computed with PBE-GGA.

## Properties
- Calculated total energy: -19.2 eV per cell
- Formation energy (no corrections): 0.22 eV/atom
- Spin magnetization: 0.15 μB per cell
- Fermi-level density of states: 2.73 states/eV per atom

Cell: 5.2949 5.2949 5.2949 Å, 90.00 90.00 90.00°
Space group Pm-3m (No. 221)
Asymmetric unit:
1 Ca 0.0000 0.0000 0.0000 (multiplicity 1)
2 Ti 0.5000 0.5000 0.5000 (multiplicity 1)
3 Se 0.0000 0.0000 0.5000 (multiplicity 3)